# 1
The following is a PBEsol calculation of crystalline NdRu2 at its relaxed geometry, from Alexandria.

a b c (Å): 5.342 5.342 5.342
angles (deg): 60.00 60.00 60.00
Fractional coordinates of all 6 atoms:
Nd (0.125, 0.125, 0.125)
Nd (0.875, 0.875, 0.875)
Ru (0.000, 0.500, 0.500)
Ru (0.500, 0.000, 0.500)
Ru (0.500, 0.500, 0.000)
Ru (0.500, 0.500, 0.500)

## Properties
The value obtained for the energy of formation is -0.078 eV per atom. Its mass density is 10.67 Mg/m³. As for the crystal system: cubic. Its magnetization is 0.00 μB per formula unit. The value obtained for the density of states at the Fermi level is 1.5404 states/eV per atom.

# 2
The following is a PBEsol calculation of crystalline Nd5Ru2 at its relaxed geometry, from Alexandria.

a b c (Å): 8.712 8.712 7.264
angles (deg): 96.25 96.25 43.62
Fractional coordinates of all 14 atoms:
Nd (0.079, 0.921, 0.750)
Nd (0.140, 0.294, 0.311)
Nd (0.294, 0.140, 0.811)
Nd (0.295, 0.520, 0.086)
Nd (0.480, 0.705, 0.414)
Nd (0.520, 0.295, 0.586)
Nd (0.705, 0.480, 0.914)
Nd (0.706, 0.860, 0.189)
Nd (0.860, 0.706, 0.689)
Nd (0.921, 0.079, 0.250)
Ru (0.099, 0.678, 0.426)
Ru (0.322, 0.901, 0.074)
Ru (0.678, 0.099, 0.926)
Ru (0.901, 0.322, 0.574)

## Properties
The value obtained for the energy of formation is -0.166 eV per atom. Its mass density is 8.12 Mg/m³. As for the crystal system: monoclinic. Its magnetization is 0.00 μB per formula unit. The value obtained for the density of states at the Fermi level is 0.8437 states/eV per atom.

# 3
The following is a PBEsol calculation of crystalline NdRu2 at its relaxed geometry, from Alexandria.

a b c (Å): 5.261 5.261 8.972
angles (deg): 90.00 90.00 120.00
Fractional coordinates of all 12 atoms:
Nd (0.333, 0.667, 0.066)
Nd (0.333, 0.667, 0.434)
Nd (0.667, 0.333, 0.566)
Nd (0.667, 0.333, 0.934)
Ru (0.000, 0.000, 0.000)
Ru (0.000, 0.000, 0.500)
Ru (0.169, 0.338, 0.750)
Ru (0.169, 0.831, 0.750)
Ru (0.338, 0.169, 0.250)
Ru (0.662, 0.831, 0.750)
Ru (0.831, 0.169, 0.250)
Ru (0.831, 0.662, 0.250)

## Properties
The value obtained for the energy of formation is -0.102 eV per atom. Its mass density is 10.70 Mg/m³. As for the crystal system: hexagonal. Its magnetization is 0.00 μB per formula unit. The value obtained for the density of states at the Fermi level is 1.1856 states/eV per atom.

# 4
The following is a PBEsol calculation of crystalline NdSi3Ru at its relaxed geometry, from Alexandria.

a b c (Å): 5.756 5.756 5.756
angles (deg): 137.43 137.43 61.78
Fractional coordinates of all 5 atoms:
Nd (0.000, 0.000, 0.000)
Si (0.237, 0.737, 0.500)
Si (0.579, 0.579, 0.000)
Si (0.737, 0.237, 0.500)
Ru (0.344, 0.344, 0.000)

## Properties
Its uncorrected formation energy is -0.75 eV/atom. Its mass density is 6.34 Mg/m³. As for the crystal system: tetragonal. Its magnetization is 0.00 μB per formula unit. The value obtained for the density of states at the Fermi level is 0.3617 states/eV per atom.

# 5
The following is a PBEsol calculation of crystalline Nd20Si9Ru3 at its relaxed geometry, from Alexandria.

a b c (Å): 13.340 7.773 7.773
angles (deg): 89.48 90.00 90.00
Fractional coordinates of all 32 atoms:
Nd (0.000, 0.244, 0.756)
Nd (0.000, 0.756, 0.244)
Nd (0.141, 0.083, 0.417)
Nd (0.141, 0.417, 0.083)
Nd (0.141, 0.563, 0.563)
Nd (0.148, 0.924, 0.924)
Nd (0.349, 0.074, 0.074)
Nd (0.354, 0.577, 0.915)
Nd (0.354, 0.915, 0.577)
Nd (0.358, 0.429, 0.429)
Nd (0.500, 0.249, 0.744)
Nd (0.500, 0.744, 0.249)
Nd (0.642, 0.429, 0.429)
Nd (0.646, 0.577, 0.915)
Nd (0.646, 0.915, 0.577)
Nd (0.651, 0.074, 0.074)
Nd (0.852, 0.924, 0.924)
Nd (0.859, 0.083, 0.417)
Nd (0.859, 0.417, 0.083)
Nd (0.859, 0.563, 0.563)
Si (0.000, 0.633, 0.862)
Si (0.000, 0.862, 0.633)
Si (0.250, 0.247, 0.747)
Si (0.250, 0.747, 0.247)
Si (0.500, 0.130, 0.360)
Si (0.500, 0.360, 0.130)
Si (0.500, 0.870, 0.870)
Si (0.750, 0.247, 0.747)
Si (0.750, 0.747, 0.247)
Ru (0.000, 0.117, 0.117)
Ru (0.000, 0.371, 0.371)
Ru (0.500, 0.635, 0.635)

## Properties
Its uncorrected formation energy is -0.50 eV/atom. Its mass density is 7.09 Mg/m³. As for the crystal system: orthorhombic. Its magnetization is 0.00 μB per formula unit. The value obtained for the density of states at the Fermi level is 0.9788 states/eV per atom.

# 6
The following is a PBEsol calculation of crystalline NdSn3Ru at its relaxed geometry, from Alexandria.

a b c (Å): 9.654 9.654 9.654
angles (deg): 90.00 90.00 90.00
Fractional coordinates of all 40 atoms:
Nd (0.000, 0.000, 0.000)
Nd (0.000, 0.250, 0.500)
Nd (0.000, 0.750, 0.500)
Nd (0.250, 0.500, 0.000)
Nd (0.500, 0.000, 0.250)
Nd (0.500, 0.000, 0.750)
Nd (0.500, 0.500, 0.500)
Nd (0.750, 0.500, 0.000)
Sn (0.000, 0.315, 0.156)
Sn (0.000, 0.315, 0.844)
Sn (0.000, 0.685, 0.156)
Sn (0.000, 0.685, 0.844)
Sn (0.156, 0.000, 0.315)
Sn (0.156, 0.000, 0.685)
Sn (0.185, 0.500, 0.344)
Sn (0.185, 0.500, 0.656)
Sn (0.315, 0.156, 0.000)
Sn (0.315, 0.844, 0.000)
Sn (0.344, 0.185, 0.500)
Sn (0.344, 0.815, 0.500)
Sn (0.500, 0.344, 0.185)
Sn (0.500, 0.344, 0.815)
Sn (0.500, 0.656, 0.185)
Sn (0.500, 0.656, 0.815)
Sn (0.656, 0.185, 0.500)
Sn (0.656, 0.815, 0.500)
Sn (0.685, 0.156, 0.000)
Sn (0.685, 0.844, 0.000)
Sn (0.815, 0.500, 0.344)
Sn (0.815, 0.500, 0.656)
Sn (0.844, 0.000, 0.315)
Sn (0.844, 0.000, 0.685)
Ru (0.250, 0.250, 0.250)
Ru (0.250, 0.250, 0.750)
Ru (0.250, 0.750, 0.250)
Ru (0.250, 0.750, 0.750)
Ru (0.750, 0.250, 0.250)
Ru (0.750, 0.250, 0.750)
Ru (0.750, 0.750, 0.250)
Ru (0.750, 0.750, 0.750)

## Properties
The value obtained for the energy of formation is -0.527 eV per atom. Its mass density is 8.88 Mg/m³. As for the crystal system: cubic. Its magnetization is 0.00 μB per formula unit. The value obtained for the density of states at the Fermi level is 0.5688 states/eV per atom.

# 7
The following is a PBEsol calculation of crystalline Nd2S3 at its relaxed geometry, from Alexandria.

a b c (Å): 14.005 14.005 14.005
angles (deg): 144.85 144.85 50.56
Fractional coordinates of all 40 atoms:
Nd (0.047, 0.153, 0.621)
Nd (0.166, 0.166, 0.000)
Nd (0.176, 0.782, 0.879)
Nd (0.218, 0.097, 0.393)
Nd (0.255, 0.625, 0.130)
Nd (0.375, 0.505, 0.630)
Nd (0.495, 0.125, 0.870)
Nd (0.532, 0.426, 0.379)
Nd (0.574, 0.953, 0.107)
Nd (0.584, 0.084, 0.500)
Nd (0.703, 0.824, 0.607)
Nd (0.834, 0.834, 0.000)
Nd (0.847, 0.468, 0.893)
Nd (0.875, 0.745, 0.370)
Nd (0.903, 0.297, 0.121)
Nd (0.916, 0.416, 0.500)
S (0.007, 0.759, 0.901)
S (0.071, 0.467, 0.246)
S (0.175, 0.929, 0.396)
S (0.185, 0.435, 0.088)
S (0.185, 0.435, 0.588)
S (0.217, 0.321, 0.746)
S (0.221, 0.825, 0.754)
S (0.241, 0.142, 0.248)
S (0.346, 0.097, 0.912)
S (0.404, 0.815, 0.250)
S (0.509, 0.257, 0.401)
S (0.529, 0.783, 0.104)
S (0.533, 0.779, 0.604)
S (0.565, 0.153, 0.750)
S (0.565, 0.654, 0.750)
S (0.575, 0.471, 0.254)
S (0.679, 0.425, 0.896)
S (0.743, 0.144, 0.252)
S (0.847, 0.596, 0.412)
S (0.856, 0.108, 0.599)
S (0.858, 0.106, 0.099)
S (0.892, 0.491, 0.748)
S (0.894, 0.993, 0.752)
S (0.903, 0.815, 0.250)

## Properties
Its uncorrected formation energy is -2.12 eV/atom. Its mass density is 5.64 Mg/m³. As for the crystal system: tetragonal. Its magnetization is 0.00 μB per formula unit. The value obtained for the density of states at the Fermi level is 0.0000 states/eV per atom.

# 8
The following is a PBEsol calculation of crystalline Nd2S3 at its relaxed geometry, from Alexandria.

a b c (Å): 7.386 4.010 15.428
angles (deg): 90.00 90.00 90.00
Fractional coordinates of all 20 atoms:
Nd (0.144, 0.250, 0.204)
Nd (0.235, 0.750, 0.456)
Nd (0.265, 0.250, 0.956)
Nd (0.356, 0.750, 0.704)
Nd (0.644, 0.250, 0.296)
Nd (0.735, 0.750, 0.044)
Nd (0.765, 0.250, 0.544)
Nd (0.856, 0.750, 0.796)
S (0.007, 0.250, 0.390)
S (0.126, 0.750, 0.067)
S (0.145, 0.250, 0.781)
S (0.355, 0.750, 0.281)
S (0.374, 0.250, 0.567)
S (0.493, 0.750, 0.890)
S (0.507, 0.250, 0.110)
S (0.626, 0.750, 0.433)
S (0.645, 0.250, 0.719)
S (0.855, 0.750, 0.219)
S (0.874, 0.250, 0.933)
S (0.993, 0.750, 0.610)

## Properties
Its uncorrected formation energy is -2.12 eV/atom. Its mass density is 5.59 Mg/m³. As for the crystal system: orthorhombic. Its magnetization is 0.00 μB per formula unit.